(1)
VASP calculation (GGA-PBE) on Sm3Pt2 after structural relaxation.

Computed properties:
M_tot	0.02	μB/cell
energy of formation from the pure elements	-986.9	meV/atom

abc: 7.588 7.588 7.588
angles: 71.40 71.40 71.40
Positions (direct):
Pt 0.544 0.333 0.911
Pt 0.911 0.544 0.333
Pt 0.089 0.456 0.667
Pt 0.456 0.667 0.089
Pt 0.667 0.089 0.456
Pt 0.333 0.911 0.544
Sm 0.500 0.500 0.500
Sm 0.898 0.162 0.665
Sm 0.335 0.102 0.838
Sm 0.700 0.700 0.700
Sm 0.300 0.300 0.300
Sm 0.162 0.665 0.898
Sm 0.838 0.335 0.102
Sm 0.102 0.838 0.335
Sm 0.665 0.898 0.162

(2)
VASP calculation (GGA-PBE) on SmPt after structural relaxation.

Computed properties:
M_tot	0.00	μB/cell
energy of formation from the pure elements	-1071.4	meV/atom

abc: 4.132 4.132 4.132
angles: 60.00 60.00 60.00
Positions (direct):
Sm 0.500 0.500 0.500
Pt 0.000 0.000 0.000

(3)
VASP calculation (GGA-PBE) on SmPt after structural relaxation.

Computed properties:
M_tot	0.07	μB/cell
energy of formation from the pure elements	-461.9	meV/atom

abc: 4.547 4.547 4.547
angles: 60.00 60.00 60.00
Positions (direct):
Sm 0.250 0.250 0.250
Pt 0.000 0.000 0.000

(4)
VASP calculation (GGA-PBE) on SmPt after structural relaxation.

Computed properties:
M_tot	0.00	μB/cell
energy of formation from the pure elements	-786.6	meV/atom

abc: 3.615 3.615 4.082
angles: 90.00 90.00 120.00
Positions (direct):
Sm 0.333 0.667 0.250
Pt 0.667 0.333 0.750